{"formula": "Hg5Cl", "functional": "PBE", "state": "relaxed", "spacegroup": "P4/mmm, No. 123", "raw_formation_energy_mev_per_atom": -71, "e_above_lowest_polymorph_ev_per_atom": 0.081, "volume_a3_per_cell": 162.7, "cell": [[3.7828, 0.0000, 0.0000], [0.0000, 3.7828, 0.0000], [0.0000, 0.0000, 11.3673]], "species": ["Hg", "Hg", "Hg", "Hg", "Hg", "Cl"], "frac_coords": [[0.0000, 0.0000, 0.0000], [0.0000, 0.0000, 0.3373], [0.0000, 0.0000, 0.6627], [0.5000, 0.5000, 0.1842], [0.5000, 0.5000, 0.8158], [0.5000, 0.5000, 0.5000]]}

{"formula": "HgCl3", "functional": "PBE", "state": "relaxed", "spacegroup": "R-3m, No. 166", "raw_formation_energy_mev_per_atom": -111, "volume_a3_per_cell": 364.9, "cell": [[4.0451, 0.0000, 0.0000], [-2.0225, 3.5032, 0.0000], [0.0000, 0.0000, 25.7480]], "species": ["Hg", "Hg", "Hg", "Cl", "Cl", "Cl", "Cl", "Cl", "Cl", "Cl", "Cl", "Cl"], "frac_coords": [[0.0000, 0.0000, 0.0000], [0.3333, 0.6667, 0.6667], [0.6667, 0.3333, 0.3333], [0.0000, 0.0000, 0.3890], [0.0000, 0.0000, 0.5000], [0.0000, 0.0000, 0.6110], [0.3333, 0.6667, 0.0557], [0.3333, 0.6667, 0.1667], [0.3333, 0.6667, 0.2777], [0.6667, 0.3333, 0.7223], [0.6667, 0.3333, 0.8333], [0.6667, 0.3333, 0.9443]]}

{"formula": "Hg3Cl5", "functional": "PBE", "state": "relaxed", "spacegroup": "P1, No. 1", "raw_formation_energy_mev_per_atom": -580, "e_above_lowest_polymorph_ev_per_atom": 0.000, "volume_a3_per_cell": 538.4, "cell": [[6.9577, 0.0000, 0.0000], [-0.3289, 7.6020, 0.0000], [-0.9909, -2.1329, 10.1791]], "species": ["Hg", "Hg", "Hg", "Hg", "Hg", "Hg", "Cl", "Cl", "Cl", "Cl", "Cl", "Cl", "Cl", "Cl", "Cl", "Cl"], "frac_coords": [[0.0000, 0.0000, 0.0000], [0.0015, 0.5008, 0.4996], [0.4667, 0.8329, 0.4422], [0.4697, 0.6951, 0.8966], [0.5310, 0.3054, 0.1036], [0.5374, 0.1693, 0.5583], [0.0910, 0.2343, 0.5600], [0.2100, 0.7781, 0.7647], [0.2694, 0.3482, 0.9548], [0.2704, 0.9555, 0.1389], [0.3635, 0.5266, 0.3378], [0.6400, 0.4755, 0.6628], [0.7298, 0.0452, 0.8612], [0.7318, 0.6527, 0.0452], [0.7900, 0.2220, 0.2358], [0.9122, 0.7673, 0.4392]]}

{"formula": "HgCl", "functional": "PBE", "state": "relaxed", "spacegroup": "I4/mmm, No. 139", "raw_formation_energy_mev_per_atom": -542, "e_above_lowest_polymorph_ev_per_atom": 0.000, "volume_a3_per_cell": 243.6, "cell": [[4.6857, 0.0000, 0.0000], [0.0000, 4.6857, 0.0000], [0.0000, 0.0000, 11.0946]], "species": ["Hg", "Hg", "Hg", "Hg", "Cl", "Cl", "Cl", "Cl"], "frac_coords": [[0.0000, 0.0000, 0.1174], [0.0000, 0.0000, 0.8826], [0.5000, 0.5000, 0.3826], [0.5000, 0.5000, 0.6174], [0.0000, 0.0000, 0.3381], [0.0000, 0.0000, 0.6619], [0.5000, 0.5000, 0.1619], [0.5000, 0.5000, 0.8381]]}